# 1
Below is MgZrP2 after structural relaxation, with properties calculated at the PBE level.

a = 4.7401 Å, b = 4.7401 Å, c = 3.2203 Å
α = 97.79°, β = 97.79°, γ = 91.15°
With the nearest neighbours (Å) after each atom.
Fractional coordinates of all 4 atoms:
Mg1 0.0000 0.0000 0.0000  4 P 2.68
Zr1 0.5000 0.5000 0.0000  4 P 2.68
P1 0.0000 0.5000 0.5000  2 Zr 2.68, 2 Mg 2.68
P2 0.5000 0.0000 0.5000  2 Zr 2.68, 2 Mg 2.68

## Properties
- DFT formation energy: -0.531 eV per atom
- Final energy: -23.088 eV per cell
- SG: C2/m (12)

# 2
Below is MgZr3P after structural relaxation, with properties calculated at the PBE level.

a = 4.9208 Å, b = 4.9208 Å, c = 4.9208 Å
α = 90.00°, β = 90.00°, γ = 90.00°
With the nearest neighbours (Å) after each atom.
Fractional coordinates of all 5 atoms:
Mg1 0.0000 0.0000 0.0000  12 Zr 3.48
Zr1 0.0000 0.5000 0.5000  2 P 2.46
Zr2 0.5000 0.0000 0.5000  2 P 2.46
Zr3 0.5000 0.5000 0.0000  2 P 2.46
P1 0.5000 0.5000 0.5000  6 Zr 2.46

## Properties
- DFT formation energy: -0.343 eV per atom
- Final energy: -34.364 eV per cell
- SG: Pm-3m (221)
- Excess energy over the best structure of this formula in the dataset: 0 meV/atom

# 3
Below is MgZrP2 after structural relaxation, with properties calculated at the PBE level.

a = 6.5930 Å, b = 6.5930 Å, c = 6.5930 Å
α = 33.18°, β = 33.18°, γ = 33.18°
With the nearest neighbours (Å) after each atom.
Fractional coordinates of all 4 atoms:
Mg1 0.0000 0.0000 0.0000  6 P 2.69
Zr1 0.5000 0.5000 0.5000  6 P 2.66
P1 0.2489 0.2489 0.2489  3 Zr 2.66, 3 Mg 2.69
P2 0.7511 0.7511 0.7511  3 Zr 2.66, 3 Mg 2.69

## Properties
- DFT formation energy: -0.900 eV per atom
- Final energy: -24.563 eV per cell
- SG: R-3m (166)